(1)
Computed, not measured: an optimized crystal structure of TlNi2Cl at the GGA-PBE level of DFT.

Summary:
The relative energy among the computed polymorphs comes out at 0.42 eV/f.u. Its raw formation energy is 0.72 eV per formula unit. As for the density of states at the Fermi level: 2.4 states/eV per cell.

Structure (CIF):
```
data_TlNi2Cl
_chemical_formula_sum 'Tl1 Ni2 Cl1'
_space_group_name_H-M_alt 'P 4 m m'
_space_group_IT_number 99
_space_group_name_Hall 'P 4 -2'
_cell_length_a 3.311
_cell_length_b 3.311
_cell_length_c 6.436
_cell_angle_alpha 90.00
_cell_angle_beta 90.00
_cell_angle_gamma 90.00
loop_
_atom_site_label
_atom_site_type_symbol
_atom_site_fract_x
_atom_site_fract_y
_atom_site_fract_z
Tl1 Tl 0.000 0.000 0.000
Ni1 Ni 0.000 0.000 0.573
Ni2 Ni 0.500 0.500 0.781
Cl1 Cl 0.500 0.500 0.444
```

***

(2)
Computed, not measured: an optimized crystal structure of SmPSe4 at the GGA-PBE level of DFT.

Summary:
Its raw formation energy is -4.36 eV per formula unit. As for the density of states at the Fermi level: 4.6 states/eV per cell.

Structure (CIF):
```
data_SmPSe4
_chemical_formula_sum 'Sm4 P4 Se16'
_space_group_name_H-M_alt 'I 41/a m d'
_space_group_IT_number 141
_cell_length_a 9.624
_cell_length_b 9.624
_cell_length_c 7.623
_cell_angle_alpha 90.00
_cell_angle_beta 90.00
_cell_angle_gamma 90.00
loop_
_space_group_symop_operation_xyz
'x,y,z'
'-x,-y,-z'
'-y+1/4,x+3/4,z+1/4'
'y+1/4,-x+3/4,-z+1/4'
'-x+1/2,-y,z+1/2'
'x+1/2,y,-z+1/2'
'y+1/4,-x+1/4,z+3/4'
'-y+1/4,x+1/4,-z+3/4'
'x,-y,-z'
'-x,y,z'
'-y+1/4,-x+1/4,-z+3/4'
'y+1/4,x+1/4,z+3/4'
'-x+1/2,y,-z+1/2'
'x+1/2,-y,z+1/2'
'y+1/4,x+3/4,-z+1/4'
'-y+1/4,-x+3/4,z+1/4'
'x+1/2,y+1/2,z+1/2'
'-x+1/2,-y+1/2,-z+1/2'
'-y+3/4,x+1/4,z+3/4'
'y+3/4,-x+1/4,-z+3/4'
'-x,-y+1/2,z'
'x,y+1/2,-z'
'y+3/4,-x+3/4,z+1/4'
'-y+3/4,x+3/4,-z+1/4'
'x+1/2,-y+1/2,-z+1/2'
'-x+1/2,y+1/2,z+1/2'
'-y+3/4,-x+3/4,-z+1/4'
'y+3/4,x+3/4,z+1/4'
'-x,y+1/2,-z'
'x,-y+1/2,z'
'y+3/4,x+1/4,-z+3/4'
'-y+3/4,-x+1/4,z+3/4'
loop_
_atom_site_label
_atom_site_type_symbol
_atom_site_fract_x
_atom_site_fract_y
_atom_site_fract_z
Sm1 Sm 0.000 0.250 0.375
P1 P 0.000 0.250 0.875
Se1 Se 0.000 0.072 0.684
```

***

(3)
Computed, not measured: an optimized crystal structure of Ag2Pt at the GGA-PBE level of DFT.

Summary:
The relative energy among the computed polymorphs comes out at 0.04 eV/f.u. As for the density of states at the Fermi level: 10.7 states/eV per cell. The formation energy is 0.00 eV/atom.

Structure (CIF):
```
data_Ag2Pt
_chemical_formula_sum 'Ag16 Pt8'
_space_group_name_H-M_alt 'C 1 2 1'
_space_group_IT_number 5
_space_group_name_Hall 'C 2y'
_cell_length_a 8.199
_cell_length_b 8.124
_cell_length_c 6.428
_cell_angle_alpha 90.00
_cell_angle_beta 108.40
_cell_angle_gamma 90.00
loop_
_atom_site_label
_atom_site_type_symbol
_atom_site_fract_x
_atom_site_fract_y
_atom_site_fract_z
Ag1 Ag 0.000 0.000 0.000
Ag2 Ag 0.000 0.492 0.000
Ag3 Ag 0.084 0.748 0.332
Ag4 Ag 0.166 0.496 0.663
Ag5 Ag 0.248 0.247 0.005
Pt1 Pt 0.086 0.244 0.343
Pt2 Pt 0.163 0.000 0.664
```

***

(4)
Computed, not measured: an optimized crystal structure of Pr2TmPb9 at the GGA-PBE level of DFT.

Summary:
As for the density of states at the Fermi level: 5.9 states/eV per cell. The formation energy is -0.33 eV/atom.

Structure (CIF):
```
data_Pr2TmPb9
_chemical_formula_sum 'Pr2 Tm1 Pb9'
_space_group_name_H-M_alt 'P 4/m m m'
_space_group_IT_number 123
_space_group_name_Hall '-P 4 2'
_cell_length_a 4.926
_cell_length_b 4.926
_cell_length_c 14.723
_cell_angle_alpha 90.00
_cell_angle_beta 90.00
_cell_angle_gamma 90.00
loop_
_atom_site_label
_atom_site_type_symbol
_atom_site_fract_x
_atom_site_fract_y
_atom_site_fract_z
Pr1 Pr 0.000 0.000 0.168
Tm1 Tm 0.000 0.000 0.500
Pb1 Pb 0.000 0.500 0.000
Pb2 Pb 0.000 0.500 0.339
Pb3 Pb 0.500 0.500 0.169
Pb4 Pb 0.500 0.500 0.500
```

***

(5)
Computed, not measured: an optimized crystal structure of Eu2MgPt at the GGA-PBE level of DFT.

Summary:
The relative energy among the computed polymorphs comes out at 0.33 eV/f.u. As for the density of states at the Fermi level: 47.2 states/eV per cell. The formation energy is -0.44 eV/atom.

Structure (CIF):
```
data_Eu2MgPt
_chemical_formula_sum 'Eu8 Mg4 Pt4'
_space_group_name_H-M_alt 'F m -3 m'
_space_group_IT_number 225
_space_group_name_Hall '-F 4 2 3'
_cell_length_a 7.473
_cell_length_b 7.473
_cell_length_c 7.473
_cell_angle_alpha 90.00
_cell_angle_beta 90.00
_cell_angle_gamma 90.00
loop_
_atom_site_label
_atom_site_type_symbol
_atom_site_fract_x
_atom_site_fract_y
_atom_site_fract_z
Eu1 Eu 0.250 0.250 0.250
Mg1 Mg 0.000 0.000 0.000
Pt1 Pt 0.000 0.000 0.500
```

***

(6)
Computed, not measured: an optimized crystal structure of MgTlPt2 at the GGA-PBE level of DFT.

Summary:
As for the density of states at the Fermi level: 6.8 states/eV per cell. The formation energy is -0.08 eV/atom.

Structure (CIF):
```
data_MgTlPt2
_chemical_formula_sum 'Mg4 Tl4 Pt8'
_space_group_name_H-M_alt 'I -4 2 d'
_space_group_IT_number 122
_space_group_name_Hall 'I -4 2bw'
_cell_length_a 4.126
_cell_length_b 4.126
_cell_length_c 18.516
_cell_angle_alpha 90.00
_cell_angle_beta 90.00
_cell_angle_gamma 90.00
loop_
_atom_site_label
_atom_site_type_symbol
_atom_site_fract_x
_atom_site_fract_y
_atom_site_fract_z
Mg1 Mg 0.000 0.000 0.000
Tl1 Tl 0.000 0.000 0.500
Pt1 Pt 0.228 0.250 0.125
```

***

(7)
Computed, not measured: an optimized crystal structure of K2BaFe at the GGA-PBE level of DFT.

Summary:
The relative energy among the computed polymorphs comes out at 1.09 eV/f.u. As for the density of states at the Fermi level: 11.2 states/eV per cell. The formation energy is 0.87 eV/atom.

Structure (CIF):
```
data_K2BaFe
_chemical_formula_sum 'K8 Ba4 Fe4'
_space_group_name_H-M_alt 'F m -3 m'
_space_group_IT_number 225
_space_group_name_Hall '-F 4 2 3'
_cell_length_a 8.901
_cell_length_b 8.901
_cell_length_c 8.901
_cell_angle_alpha 90.00
_cell_angle_beta 90.00
_cell_angle_gamma 90.00
loop_
_atom_site_label
_atom_site_type_symbol
_atom_site_fract_x
_atom_site_fract_y
_atom_site_fract_z
K1 K 0.250 0.250 0.250
Ba1 Ba 0.000 0.000 0.000
Fe1 Fe 0.000 0.000 0.500
```

***

(8)
Computed, not measured: an optimized crystal structure of Sc4NbZn5 at the GGA-PBE level of DFT.

Summary:
As for the density of states at the Fermi level: 7.7 states/eV per cell. The formation energy is -0.28 eV/atom.

Structure (CIF):
```
data_Sc4NbZn5
_chemical_formula_sum 'Sc4 Nb1 Zn5'
_space_group_name_H-M_alt 'P 4/m m m'
_space_group_IT_number 123
_space_group_name_Hall '-P 4 2'
_cell_length_a 3.330
_cell_length_b 3.330
_cell_length_c 16.377
_cell_angle_alpha 90.00
_cell_angle_beta 90.00
_cell_angle_gamma 90.00
loop_
_atom_site_label
_atom_site_type_symbol
_atom_site_fract_x
_atom_site_fract_y
_atom_site_fract_z
Sc1 Sc 0.000 0.000 0.103
Sc2 Sc 0.000 0.000 0.308
Nb1 Nb 0.000 0.000 0.500
Zn1 Zn 0.500 0.500 0.000
Zn2 Zn 0.500 0.500 0.206
Zn3 Zn 0.500 0.500 0.406
```